An optimized crystal structure of VInAgF6, computed with GGA+U.

Cell lengths 6.2977, 6.2977, 8.5214 Å; angles 90.00, 90.00, 120.00 degrees
Positions (direct):
1 V 0.3333 0.6667 0.2500
2 V 0.6667 0.3333 0.7500
3 In 0.3333 0.6667 0.7500
4 In 0.6667 0.3333 0.2500
5 Ag 0.0000 0.0000 0.0000
6 Ag 0.0000 0.0000 0.5000
7 F 0.0936 0.4072 0.1262
8 F 0.0936 0.6864 0.3738
9 F 0.3136 0.4072 0.3738
10 F 0.3136 0.9064 0.1262
11 F 0.4072 0.0936 0.6262
12 F 0.4072 0.3136 0.8738
13 F 0.5928 0.6864 0.1262
14 F 0.5928 0.9064 0.3738
15 F 0.6864 0.0936 0.8738
16 F 0.6864 0.5928 0.6262
17 F 0.9064 0.3136 0.6262
18 F 0.9064 0.5928 0.8738

Output
Final energy ... -0.17666 Ha/atom
Crystal system ... trigonal